Record 1
A relaxed structure of Zr5Cr2H12. Source: Alexandria, functional PBE-GGA.

The space group is C2/m (No. 12) and the conventional cell measures 10.056, 5.349 and 6.564 Å, with angles of 90.00, 102.56 and 90.00 degrees. The distinct sites, in fractional coordinates, are Zr at (0.000, 0.000, 0.000), Zr at (0.157, 0.500, 0.861), Zr at (0.211, 0.500, 0.339), Cr at (0.000, 0.219, 0.500), H at (0.016, 0.500, 0.351), H at (0.060, 0.000, 0.346), H at (0.169, 0.236, 0.097) and H at (0.169, 0.297, 0.594).

The crystal system is monoclinic. The total magnetization is 0.0 μB/f.u. Its density of states at the Fermi level is 0.367 states/eV/atom. The calculation puts the final energy at -216.408 eV for the cell shown. The volume is 9.07 Å³/atom.

***

Record 2
A relaxed structure of CrRh3S. Source: Alexandria, functional PBE-GGA.

The space group is Pm-3m (No. 221) and the conventional cell measures 4.460, 4.460 and 4.460 Å, with angles of 90.00, 90.00 and 90.00 degrees. The distinct sites, in fractional coordinates, are Cr at (0.000, 0.000, 0.000), Rh at (0.000, 0.000, 0.500) and S at (0.500, 0.500, 0.500).

The crystal system is cubic. The formation energy from raw total energies comes out at 5.7 eV per formula unit. The total magnetization is 0.0 μB/f.u. Its density of states at the Fermi level is 1.349 states/eV/atom. The calculation puts the final energy at -30.126 eV for the cell shown. The volume is 17.74 Å³/atom.

***

Record 3
A relaxed structure of Co2HgSe. Source: Alexandria, functional PBE-GGA.

The space group is R3m (No. 160, hexagonal axes) and the conventional cell measures 3.1636, 3.1636 and 24.6657 Å, with angles of 90.00, 90.00 and 120.00 degrees. The distinct sites, in fractional coordinates, are Co at (0.0000, 0.0000, 0.0000), Co at (0.0000, 0.0000, 0.2698), Hg at (0.0000, 0.0000, 0.7538) and Se at (0.0000, 0.0000, 0.5471).

The crystal system is trigonal. The formation energy from raw total energies comes out at 1.2 eV per formula unit. The total magnetization is 2.2 μB/f.u. Its density of states at the Fermi level is 1.168 states/eV/atom. The calculation puts the final energy at -50.246 eV for the cell shown. The volume is 17.82 Å³/atom.